Computed, not measured: a geometry-optimized Be2Hg structure at the GGA-PBE level of DFT.

Values from the calculation:
The value obtained for the mass density is 8.711 g/cm³. The energy of formation from the pure elements is 14.52 kcal/mol of atoms. Its symmetry is P6_3/mmc (194).

Cell: 3.921 3.921 6.258 Å, 90.00 90.00 120.00°
Element x y z (fractional)
Be  0.333  0.667  0.050
Be  0.333  0.667  0.450
Be  0.667  0.333  0.550
Be  0.667  0.333  0.950
Hg  0.000  0.000  0.250
Hg  0.000  0.000  0.750